Entry P
## Pm2Pr5Er3 (PBE)

Data for a geometry-optimized Pm2Pr5Er3 structure.

Cell: 9.4955 22.2086 6.8873 Å, 90.00 90.00 90.00°
Space group Ibam (No. 72)
Symmetry-distinct sites (fractional):
Pm: 0.0971 0.1202 0.0000 [8 per cell]
Pr: 0.0000 0.2460 0.2500 [8 per cell]
Pr: 0.0000 0.5000 0.2500 [4 per cell]
Pr: 0.0962 0.3723 0.5000 [8 per cell]
Er: 0.0000 0.0000 0.2500 [4 per cell]
Er: 0.2456 0.1175 0.5000 [8 per cell]

## Properties
* calculated volume: 1452.4 Å³ per cell
* calculated density: 6.84 g cm⁻³
* DOS(E_F): 58.629 states/eV/cell
* total moment: 0.00 μB/atom

=====

Entry Q
## Pm2Pr5Er3 (PBE)

Data for a geometry-optimized Pm2Pr5Er3 structure.

Cell: 10.9095 14.9972 10.0905 Å, 90.00 122.62 90.00°
Space group C2/c (No. 15)
Symmetry-distinct sites (fractional):
Pm: 0.1524 0.1213 0.0578 [8 per cell]
Pr: 0.0000 0.2286 0.2500 [4 per cell]
Pr: 0.0000 0.2686 0.7500 [4 per cell]
Pr: 0.0000 0.4766 0.7500 [4 per cell]
Pr: 0.2456 0.3791 0.2444 [8 per cell]
Er: 0.0000 0.0211 0.2500 [4 per cell]
Er: 0.1565 0.3763 0.5560 [8 per cell]

## Properties
* calculated volume: 1390.5 Å³ per cell
* calculated density: 7.15 g cm⁻³
* DOS(E_F): 69.769 states/eV/cell
* total moment: 0.00 μB/atom

=====

Going by the computed energies, the most stable comes first: entry Q, entry P.